Compound: HfMo4W5
Source: Alexandria via LeMat-Bulk
Functional: PBE
Structure: optimized geometry

The formation energy comes out at 0.373 eV/atom. The value obtained for the spin magnetization is 0.00 μB/f.u. For the total energy, the calculation gives -228.619 eV/cell.

The space group is C2/m (No. 12) and the conventional cell measures 12.536, 4.522 and 6.936 Å, with angles of 90.00, 117.63 and 90.00 degrees. The distinct sites, in fractional coordinates, are Hf at (0.000, 0.000, 0.000), Mo at (0.051, 0.500, 0.246), Mo at (0.185, 0.000, 0.428), W at (0.000, 0.000, 0.500), W at (0.141, 0.500, 0.699) and W at (0.224, 0.500, 0.127).